Entry 1:
# In8CuHg2

An optimized crystal structure of In8CuHg2 (PBE, Alexandria via LeMat-Bulk).

Output
* calculated volume: 25.845 Å³ per atom
* calculated formation energy: 28 meV per atom
* density of states at the Fermi level: 4.2 states/eV/f.u.

a b c (Å): 4.5755 4.5755 13.5800
angles (deg): 90.00 90.00 90.00
Sites, in units of the cell vectors:
In  0.0000  0.0000  0.1974
In  0.0000  0.0000  0.8026
In  0.0000  0.5000  0.0000
In  0.0000  0.5000  0.3802
In  0.0000  0.5000  0.6198
In  0.5000  0.0000  0.0000
In  0.5000  0.0000  0.3802
In  0.5000  0.0000  0.6198
Cu  0.5000  0.5000  0.5000
Hg  0.5000  0.5000  0.1831
Hg  0.5000  0.5000  0.8169

=====

Entry 2:
# InCu2Hg

An optimized crystal structure of InCu2Hg (PBE, Alexandria via LeMat-Bulk).

Output
* polymorph energy (0 for the lowest one): 10.1 meV per atom
* calculated volume: 17.907 Å³ per atom
* calculated formation energy: 141 meV per atom
* density of states at the Fermi level: 1.0 states/eV/f.u.

a b c (Å): 5.9852 5.9852 5.9852
angles (deg): 151.32 135.58 53.73
Sites, in units of the cell vectors:
In  0.0000  0.0000  0.0000
Cu  0.2535  0.7535  0.5000
Cu  0.4462  0.4462  0.0000
Hg  0.7087  0.2087  0.5000

=====

Entry 3:
# In2CuHg

An optimized crystal structure of In2CuHg (PBE, Alexandria via LeMat-Bulk).

Output
* calculated volume: 22.633 Å³ per atom
* calculated formation energy: 110 meV per atom
* density of states at the Fermi level: 1.2 states/eV/f.u.

a b c (Å): 9.0727 9.0727 9.0727
angles (deg): 21.83 21.83 21.83
Sites, in units of the cell vectors:
In  0.0000  0.0000  0.0000
In  0.2337  0.2337  0.2337
Cu  0.4971  0.4971  0.4971
Hg  0.7592  0.7592  0.7592

=====

Entry 4:
# In2Cu2Hg

An optimized crystal structure of In2Cu2Hg (PBE, Alexandria via LeMat-Bulk).

Output
* polymorph energy (0 for the lowest one): 145.9 meV per atom
* calculated volume: 21.378 Å³ per atom
* calculated formation energy: 244 meV per atom
* density of states at the Fermi level: 1.9 states/eV/f.u.

a b c (Å): 6.4570 6.4570 6.4570
angles (deg): 140.75 140.75 56.71
Sites, in units of the cell vectors:
In  0.2500  0.7500  0.5000
In  0.7500  0.2500  0.5000
Cu  0.1049  0.1049  0.0000
Cu  0.8951  0.8951  0.0000
Hg  0.5000  0.5000  0.0000

=====

Entry 5:
# In2CuHg

An optimized crystal structure of In2CuHg (PBE, Alexandria via LeMat-Bulk).

Output
* calculated volume: 24.236 Å³ per atom
* calculated formation energy: 128 meV per atom
* density of states at the Fermi level: 1.2 states/eV/f.u.

a b c (Å): 7.6315 7.6315 7.6315
angles (deg): 29.76 29.76 29.76
Sites, in units of the cell vectors:
In  0.0000  0.0000  0.0000
In  0.1958  0.1958  0.1958
Cu  0.5983  0.5983  0.5983
Hg  0.7660  0.7660  0.7660

=====

Entry 6:
# In2Cu2Hg

An optimized crystal structure of In2Cu2Hg (PBE, Alexandria via LeMat-Bulk).

Output
* polymorph energy (0 for the lowest one): 0.0 meV per atom
* calculated volume: 19.559 Å³ per atom
* calculated formation energy: 98 meV per atom
* density of states at the Fermi level: 2.1 states/eV/f.u.

a b c (Å): 7.0764 7.0764 3.9059
angles (deg): 90.00 90.00 90.00
Sites, in units of the cell vectors:
In  0.1671  0.3329  0.0000
In  0.3329  0.8329  0.0000
In  0.6671  0.1671  0.0000
In  0.8329  0.6671  0.0000
Cu  0.1268  0.6268  0.5000
Cu  0.3732  0.1268  0.5000
Cu  0.6268  0.8732  0.5000
Cu  0.8732  0.3732  0.5000
Hg  0.0000  0.0000  0.5000
Hg  0.5000  0.5000  0.5000

=====

Entry 7:
# InCuHg3

An optimized crystal structure of InCuHg3 (PBE, Alexandria via LeMat-Bulk).

Output
* polymorph energy (0 for the lowest one): 440.0 meV per atom
* calculated volume: 35.740 Å³ per atom
* calculated formation energy: 595 meV per atom
* density of states at the Fermi level: 1.4 states/eV/f.u.

a b c (Å): 5.6326 5.6326 5.6326
angles (deg): 90.00 90.00 90.00
Sites, in units of the cell vectors:
In  0.0000  0.0000  0.0000
Cu  0.5000  0.5000  0.5000
Hg  0.0000  0.0000  0.5000
Hg  0.0000  0.5000  0.0000
Hg  0.5000  0.0000  0.0000

=====

Entry 8:
# In2CuHg

An optimized crystal structure of In2CuHg (PBE, Alexandria via LeMat-Bulk).

Output
* calculated volume: 22.523 Å³ per atom
* calculated formation energy: 212 meV per atom
* density of states at the Fermi level: 0.5 states/eV/f.u.

a b c (Å): 5.0319 5.0319 5.0319
angles (deg): 60.00 60.00 60.00
Sites, in units of the cell vectors:
In  0.0000  0.0000  0.0000
In  0.2500  0.2500  0.2500
Cu  0.7500  0.7500  0.7500
Hg  0.5000  0.5000  0.5000

=====

Entry 9:
# InCu3Hg

An optimized crystal structure of InCu3Hg (PBE, Alexandria via LeMat-Bulk).

Output
* polymorph energy (0 for the lowest one): 0.0 meV per atom
* calculated volume: 23.409 Å³ per atom
* calculated formation energy: 729 meV per atom
* density of states at the Fermi level: 1.9 states/eV/f.u.

a b c (Å): 4.8916 4.8916 4.8916
angles (deg): 90.00 90.00 90.00
Sites, in units of the cell vectors:
In  0.0000  0.0000  0.0000
Cu  0.0000  0.5000  0.5000
Cu  0.5000  0.0000  0.5000
Cu  0.5000  0.5000  0.0000
Hg  0.5000  0.5000  0.5000

=====

Entry 10:
# In2Cu2Hg

An optimized crystal structure of In2Cu2Hg (PBE, Alexandria via LeMat-Bulk).

Output
* polymorph energy (0 for the lowest one): 21.4 meV per atom
* calculated volume: 20.752 Å³ per atom
* calculated formation energy: 120 meV per atom
* density of states at the Fermi level: 1.8 states/eV/f.u.

a b c (Å): 9.0436 9.0436 9.0436
angles (deg): 158.00 158.00 31.32
Sites, in units of the cell vectors:
In  0.1222  0.1222  0.0000
In  0.8778  0.8778  0.0000
Cu  0.2500  0.7500  0.5000
Cu  0.7500  0.2500  0.5000
Hg  0.5000  0.5000  0.0000

=====

Entry 11:
# In6Cu6Hg

An optimized crystal structure of In6Cu6Hg (PBE, Alexandria via LeMat-Bulk).

Output
* calculated volume: 18.461 Å³ per atom
* calculated formation energy: 50 meV per atom
* density of states at the Fermi level: 3.9 states/eV/f.u.

a b c (Å): 7.1075 7.1075 7.1075
angles (deg): 133.26 100.05 98.06
Sites, in units of the cell vectors:
In  0.1674  0.1674  0.0000
In  0.1718  0.5000  0.6718
In  0.3285  0.8285  0.5000
In  0.6715  0.1715  0.5000
In  0.8282  0.5000  0.3282
In  0.8326  0.8326  0.0000
Cu  0.0000  0.0000  0.5000
Cu  0.0000  0.5000  0.0000
Cu  0.2475  0.0000  0.2475
Cu  0.5000  0.0000  0.0000
Cu  0.5000  0.5000  0.5000
Cu  0.7525  0.0000  0.7525
Hg  0.5000  0.5000  0.0000

=====

Entry 12:
# In4CuHg

An optimized crystal structure of In4CuHg (PBE, Alexandria via LeMat-Bulk).

Output
* polymorph energy (0 for the lowest one): 0.0 meV per atom
* calculated volume: 24.061 Å³ per atom
* calculated formation energy: 21 meV per atom
* density of states at the Fermi level: 1.6 states/eV/f.u.

a b c (Å): 7.2706 7.2706 5.6333
angles (deg): 97.11 97.11 99.01
Sites, in units of the cell vectors:
In  0.0986  0.6962  0.9595
In  0.1504  0.3479  0.5762
In  0.3038  0.9014  0.5405
In  0.3479  0.1504  0.0762
In  0.6521  0.8496  0.9238
In  0.6962  0.0986  0.4595
In  0.8496  0.6521  0.4238
In  0.9014  0.3038  0.0405
Cu  0.0014  0.9986  0.2500
Cu  0.9986  0.0014  0.7500
Hg  0.4266  0.5734  0.2500
Hg  0.5734  0.4266  0.7500